DFT (PBE) results for a geometry-optimized SiOsNF2 structure.

Unit cell a=4.3492 b=4.3492 c=3.2070 alpha=90.00 beta=90.00 gamma=90.00
With the nearest neighbours (Å) after each atom.
Element x y z (fractional)
F  0.5000  0.0000  0.0000  2 Si 2.17
F  0.0000  0.5000  0.0000  2 Si 2.17
Os  0.5000  0.5000  0.5000  8 F 2.70
N  0.0000  0.0000  0.5000  2 Si 1.60
Si  0.0000  0.0000  0.0000  2 N 1.60

**Distance to the lowest polymorph of the same formula**: 113 meV/atom
**Raw formation energy**: 215 meV per atom

---

DFT (PBE) results for a geometry-optimized Ho2Al structure.

Unit cell a=3.4266 b=3.4265 c=7.1027 alpha=103.94 beta=103.94 gamma=90.01
With the nearest neighbours (Å) after each atom.
Element x y z (fractional)
Ho  0.1490  0.1490  0.2983  4 Al 3.14, 4 Ho 3.43
Ho  0.8510  0.8510  0.7017  4 Al 3.14, 4 Ho 3.43
Al  0.5000  0.5000  0.0000  8 Ho 3.14, 4 Al 3.43

**E_form**: -24.86 kJ/mol of atoms

---

DFT (PBE) results for a geometry-optimized Sr2AgS structure.

Unit cell a=8.0416 b=8.0416 c=7.1475 alpha=55.77 beta=55.77 gamma=90.00
With the nearest neighbours (Å) after each atom.
Element x y z (fractional)
Ag  0.7500  0.2500  0.5000  4 Sr 3.24
Ag  0.0000  0.0000  0.0000  4 Sr 3.24
Sr  0.5895  0.1250  0.2500  2 S 2.86
Sr  0.1605  0.6250  0.2500  2 S 2.86
Sr  0.3750  0.4105  0.7500  2 S 2.86
Sr  0.8750  0.8395  0.7500  2 S 2.86
S  0.5000  0.5000  0.0000  4 Sr 2.86
S  0.2500  0.7500  0.5000  4 Sr 2.86

**Raw formation energy**: -881 meV per atom

---

DFT (PBE) results for a geometry-optimized Mg6Pd2Pt structure.

Unit cell a=4.4867 b=6.2555 c=7.7201 alpha=113.90 beta=107.08 gamma=90.00
With the nearest neighbours (Å) after each atom.
Element x y z (fractional)
Mg  0.1655  0.4148  0.3309  1 Pt 2.71, 3 Pd 2.73-2.74
Mg  0.8345  0.5852  0.6691  1 Pt 2.71, 3 Pd 2.73-2.74
Mg  0.1655  0.9161  0.3309  1 Pt 2.71, 3 Pd 2.73-2.74
Mg  0.8345  0.0839  0.6691  1 Pt 2.71, 3 Pd 2.73-2.74
Mg  0.5000  0.2463  0.0000  2 Pt 2.72, 2 Pd 2.74
Mg  0.5000  0.7537  0.0000  2 Pt 2.72, 2 Pd 2.74
Pt  0.0000  0.0000  0.0000  8 Mg 2.71-2.72
Pd  0.3330  0.3331  0.6663  8 Mg 2.73-2.74
Pd  0.6670  0.6669  0.3337  8 Mg 2.73-2.74

**Distance to the lowest polymorph of the same formula**: 51 meV/atom
**E_form**: -47.60 kJ/mol of atoms

---

DFT (PBE) results for a geometry-optimized Ta2Ti5Pd2 structure.

Unit cell a=2.8366 b=7.9130 c=6.9059 alpha=77.98 beta=84.09 gamma=87.87
With the nearest neighbours (Å) after each atom.
Element x y z (fractional)
Ti  0.5505  0.7720  0.3565  2 Ta 2.72-2.76, 1 Pd 2.72, 5 Ti 2.80-2.94
Ti  0.0743  0.5514  0.6899  3 Pd 2.71-2.98, 1 Ta 2.77, 5 Ti 2.80-2.98
Ti  0.9257  0.4486  0.3101  3 Pd 2.71-2.98, 1 Ta 2.77, 5 Ti 2.80-2.98
Ti  0.0000  0.0000  0.0000  2 Ta 2.70, 2 Pd 2.70, 4 Ti 2.84-2.94
Ti  0.4495  0.2280  0.6435  2 Ta 2.72-2.76, 1 Pd 2.72, 5 Ti 2.80-2.94
Ta  0.8012  0.8942  0.6712  4 Ti 2.70-2.77, 3 Ta 2.76-2.84, 1 Pd 2.78
Ta  0.1988  0.1058  0.3288  4 Ti 2.70-2.77, 3 Ta 2.76-2.84, 1 Pd 2.78
Pd  0.6185  0.3193  0.9889  5 Ti 2.70-2.98, 1 Ta 2.78, 3 Pd 2.84-2.95
Pd  0.3815  0.6807  0.0111  5 Ti 2.70-2.98, 1 Ta 2.78, 3 Pd 2.84-2.95

**E_form**: -17.37 kJ/mol of atoms

---

DFT (PBE) results for a geometry-optimized KBaAu2 structure.

Unit cell a=5.4670 b=5.4670 c=5.4670 alpha=60.00 beta=60.00 gamma=60.00
With the nearest neighbours (Å) after each atom.
Element x y z (fractional)
K  0.7500  0.7500  0.7500  4 Ba 3.35, 4 Au 3.35
Ba  0.5000  0.5000  0.5000  4 K 3.35, 4 Au 3.35
Au  0.2500  0.2500  0.2500  4 Ba 3.35, 4 Au 3.35
Au  0.0000  0.0000  0.0000  4 Au 3.35, 4 K 3.35

**Distance to the lowest polymorph of the same formula**: 250 meV/atom
**E_form**: -27.06 kJ/mol of atoms

---

DFT (PBE) results for a geometry-optimized Pr12Tm5Pu structure.

Unit cell a=15.3253 b=10.8954 c=5.1669 alpha=90.00 beta=90.00 gamma=45.33
With the nearest neighbours (Å) after each atom.
Element x y z (fractional)
Pu  0.0000  0.0000  0.0000  8 Pr 3.57-3.58, 4 Tm 3.65
Pr  0.9963  0.3317  0.0000  1 Pu 3.57, 3 Tm 3.58-3.60, 8 Pr 3.64-3.75
Pr  0.8383  0.0000  0.4999  2 Tm 3.57, 2 Pu 3.58, 8 Pr 3.64-3.72
Pr  0.3279  0.6683  0.0000  1 Pu 3.57, 3 Tm 3.58-3.60, 8 Pr 3.64-3.75
Pr  0.1689  0.3326  0.5000  4 Tm 3.61-3.62, 8 Pr 3.65-3.70
Pr  0.5015  0.6676  0.5000  4 Tm 3.61-3.62, 8 Pr 3.65-3.70
Pr  0.6721  0.3317  0.0000  1 Pu 3.57, 3 Tm 3.58-3.60, 8 Pr 3.64-3.75
Pr  0.6638  0.9999  0.9999  4 Tm 3.59-3.60, 8 Pr 3.65-3.72
Pr  0.3362  0.0001  0.0001  4 Tm 3.59-3.60, 8 Pr 3.65-3.72
Pr  0.1617  0.0000  0.5001  2 Tm 3.57, 2 Pu 3.58, 8 Pr 3.64-3.72
Pr  0.0037  0.6683  0.0000  1 Pu 3.57, 3 Tm 3.58-3.60, 8 Pr 3.64-3.75
Pr  0.4985  0.3324  0.5000  4 Tm 3.61-3.62, 8 Pr 3.65-3.70
Pr  0.8311  0.6674  0.5000  4 Tm 3.61-3.62, 8 Pr 3.65-3.70
Tm  0.8339  0.3323  0.5000  8 Pr 3.57-3.62, 2 Pu 3.65, 2 Tm 3.67
Tm  0.1661  0.6678  0.5000  8 Pr 3.57-3.62, 2 Pu 3.65, 2 Tm 3.67
Tm  0.5000  0.0000  0.5000  8 Pr 3.60-3.61, 4 Tm 3.64
Tm  0.6658  0.6685  0.0000  8 Pr 3.59-3.61, 4 Tm 3.64-3.67
Tm  0.3342  0.3315  0.0000  8 Pr 3.59-3.61, 4 Tm 3.64-3.67

**E_form**: 4.65 kJ/mol of atoms

---

DFT (PBE) results for a geometry-optimized Y3Sc2Pt3 structure.

Unit cell a=3.4750 b=4.9862 c=10.7691 alpha=103.39 beta=99.28 gamma=90.00
With the nearest neighbours (Å) after each atom.
Element x y z (fractional)
Sc  0.7284  0.2284  0.4568  2 Pt 2.74
Sc  0.2716  0.7716  0.5432  2 Pt 2.74
Pt  0.1258  0.1258  0.2517  2 Sc 2.74, 4 Y 3.04
Pt  0.8742  0.8742  0.7483  2 Sc 2.74, 4 Y 3.04
Pt  0.0000  0.5000  0.0000  8 Y 3.01-3.04
Y  0.3809  0.3809  0.7618  6 Pt 3.01-3.04, 2 Sc 3.36
Y  0.5000  0.0000  0.0000  8 Pt 3.04-3.13
Y  0.6191  0.6191  0.2382  6 Pt 3.01-3.04, 2 Sc 3.36

**E_form**: -89.51 kJ/mol of atoms

---

DFT (PBE) results for a geometry-optimized Mn5HgCl12 structure.

Unit cell a=6.5008 b=6.5064 c=12.9939 alpha=89.98 beta=89.96 gamma=60.03
With the nearest neighbours (Å) after each atom.
Element x y z (fractional)
Cl  0.0000  0.6465  0.1104  2 Mn 2.55, 1 Hg 2.71
Cl  0.6465  0.0000  0.8897  2 Mn 2.55, 1 Hg 2.71
Cl  0.4998  0.3333  0.6051  3 Mn 2.56
Cl  0.8335  0.0000  0.3949  3 Mn 2.56
Cl  0.6465  0.3535  0.1104  2 Mn 2.55, 1 Hg 2.71
Cl  0.1669  0.3333  0.3949  3 Mn 2.56
Cl  0.0000  0.3535  0.8896  2 Mn 2.55, 1 Hg 2.71
Cl  0.3535  0.0000  0.1103  2 Mn 2.55, 1 Hg 2.71
Cl  0.5002  0.6667  0.3949  3 Mn 2.56
Cl  0.8331  0.6667  0.6051  3 Mn 2.56
Cl  0.3535  0.6465  0.8896  2 Mn 2.55, 1 Hg 2.71
Cl  0.1665  0.0000  0.6051  3 Mn 2.56
Mn  0.6667  0.6666  0.0000  6 Cl 2.55
Mn  0.3333  0.3334  0.0000  6 Cl 2.55
Mn  0.8333  0.3335  0.5000  6 Cl 2.56
Mn  0.5000  0.0000  0.5000  6 Cl 2.56
Mn  0.1667  0.6665  0.5000  6 Cl 2.56
Hg  0.0000  0.0000  0.0000  6 Cl 2.71

**Raw formation energy**: -991 meV per atom

---

DFT (PBE) results for a geometry-optimized AcTbIn2 structure.

Unit cell a=3.9247 b=3.9247 c=7.9212 alpha=90.00 beta=90.00 gamma=90.00
With the nearest neighbours (Å) after each atom.
Element x y z (fractional)
In  0.0000  0.0000  0.2205  4 Tb 3.28, 1 In 3.49, 4 Ac 3.55
In  0.0000  0.0000  0.7795  4 Tb 3.28, 1 In 3.49, 4 Ac 3.55
Ac  0.5000  0.5000  0.5000  8 In 3.55, 4 Ac 3.92, 2 Tb 3.96
Tb  0.5000  0.5000  0.0000  8 In 3.28

**E_form**: -42.98 kJ/mol of atoms

---

DFT (PBE) results for a geometry-optimized MgPaAsO6 structure.

Unit cell a=5.3435 b=5.3435 c=8.8920 alpha=90.00 beta=90.00 gamma=120.00
With the nearest neighbours (Å) after each atom.
Element x y z (fractional)
O  0.0456  0.6755  0.8674  1 As 1.88
O  0.3245  0.9544  0.6326  1 As 1.88
O  0.6755  0.6299  0.1326  1 As 1.88
O  0.9544  0.6299  0.3674  1 As 1.88
O  0.9544  0.3245  0.1326  1 As 1.88
O  0.6755  0.0456  0.3674  1 As 1.88
O  0.3701  0.0456  0.1326  1 As 1.88
O  0.3245  0.3701  0.8674  1 As 1.88
O  0.0456  0.3701  0.6326  1 As 1.88
O  0.3701  0.3245  0.3674  1 As 1.88
O  0.6299  0.6755  0.6326  1 As 1.88
O  0.6299  0.9544  0.8674  1 As 1.88
Pa  0.3333  0.6667  0.2500  6 O 2.20
Pa  0.6667  0.3333  0.7500  6 O 2.20
As  0.3333  0.6667  0.7500  6 O 1.88
As  0.6667  0.3333  0.2500  6 O 1.88
Mg  0.0000  0.0000  0.0000  6 O 2.21
Mg  0.0000  0.0000  0.5000  6 O 2.21

**Raw formation energy**: -2323 meV per atom

---

DFT (PBE) results for a geometry-optimized Y3SbW structure.

Unit cell a=5.5927 b=5.5927 c=5.5927 alpha=90.00 beta=90.00 gamma=90.00
With the nearest neighbours (Å) after each atom.
Element x y z (fractional)
Y  0.0000  0.5000  0.0000  2 Sb 2.80
Y  0.0000  0.0000  0.5000  2 Sb 2.80
Y  0.5000  0.0000  0.0000  2 Sb 2.80
W  0.5000  0.5000  0.5000  12 Y 3.95
Sb  0.0000  0.0000  0.0000  6 Y 2.80

**Distance to the lowest polymorph of the same formula**: 640 meV/atom
**Raw formation energy**: 996 meV per atom

---

DFT (PBE) results for a geometry-optimized Ir2RuS2 structure.

Unit cell a=3.9089 b=3.9089 c=5.8893 alpha=70.62 beta=70.62 gamma=90.00
With the nearest neighbours (Å) after each atom.
Element x y z (fractional)
Ir  0.7500  0.2500  0.5000  4 S 2.37
Ir  0.2500  0.7500  0.5000  4 S 2.37
Ru  0.0000  0.0000  0.0000  8 S 3.03, 8 Ir 3.25
S  0.6205  0.6205  0.7590  4 Ir 2.37, 1 S 2.51
S  0.3795  0.3795  0.2410  4 Ir 2.37, 1 S 2.51

**Distance to the lowest polymorph of the same formula**: 189 meV/atom
**Raw formation energy**: 746 meV per atom

---

DFT (PBE) results for a geometry-optimized CuPIr structure.

Unit cell a=3.9145 b=3.9145 c=3.9145 alpha=60.00 beta=60.00 gamma=60.00
With the nearest neighbours (Å) after each atom.
Element x y z (fractional)
Ir  0.5000  0.5000  0.5000  4 P 2.40
P  0.7500  0.7500  0.7500  4 Ir 2.40, 4 Cu 2.40
Cu  0.0000  0.0000  0.0000  4 P 2.40

**Distance to the lowest polymorph of the same formula**: 27 meV/atom
**E_form**: -13.72 kJ/mol of atoms

---

DFT (PBE) results for a geometry-optimized NdAlZnPt3 structure.

Unit cell a=5.7272 b=6.8731 c=6.9190 alpha=119.78 beta=90.00 gamma=90.00
With the nearest neighbours (Å) after each atom.
Element x y z (fractional)
Pt  0.5000  0.2926  0.0000  2 Al 2.50, 2 Zn 2.51
Pt  0.7500  0.8206  0.6412  1 Al 2.38, 1 Zn 2.62
Pt  0.5000  0.7074  0.0000  2 Al 2.50, 2 Zn 2.51
Pt  0.0000  0.7074  0.0000  2 Al 2.50, 2 Zn 2.51
Pt  0.0000  0.2926  0.0000  2 Al 2.50, 2 Zn 2.51
Pt  0.2500  0.1794  0.3588  1 Al 2.38, 1 Zn 2.62
Zn  0.2500  0.9614  0.9228  5 Pt 2.51-2.62
Zn  0.7500  0.0386  0.0772  5 Pt 2.51-2.62
Nd  0.7500  0.2910  0.5820  1 Zn 3.03, 2 Al 3.05, 6 Pt 3.16-3.22
Nd  0.2500  0.7090  0.4180  1 Zn 3.03, 2 Al 3.05, 6 Pt 3.16-3.22
Al  0.7500  0.6223  0.2446  5 Pt 2.38-2.50
Al  0.2500  0.3777  0.7554  5 Pt 2.38-2.50

**E_form**: -69.21 kJ/mol of atoms

---

DFT (PBE) results for a geometry-optimized MgTlGeO4 structure.

Unit cell a=6.6192 b=6.3435 c=6.3435 alpha=57.71 beta=58.55 gamma=58.55
With the nearest neighbours (Å) after each atom.
Element x y z (fractional)
Ge  0.6150  0.6350  0.1350  4 O 1.81-1.83
Ge  0.3850  0.3650  0.8650  4 O 1.81-1.83
Tl  0.0000  0.0000  0.0000  6 O 2.41-2.42
Tl  0.0000  0.5000  0.5000  6 O 2.41-2.42
O  0.2913  0.2419  0.7419  1 Ge 1.81
O  0.7087  0.7581  0.2581  1 Ge 1.81
O  0.2698  0.2324  0.2280  1 Ge 1.83
O  0.2751  0.7581  0.2581  1 Ge 1.81
O  0.7302  0.7676  0.7720  1 Ge 1.83
O  0.7249  0.2419  0.7419  1 Ge 1.81
O  0.2698  0.7280  0.7324  1 Ge 1.83
O  0.7302  0.2720  0.2676  1 Ge 1.83
Mg  0.5000  0.0000  0.5000  6 O 2.17-2.27
Mg  0.0000  0.0000  0.5000  6 O 2.17-2.27

**Raw formation energy**: -1481 meV per atom

---

DFT (PBE) results for a geometry-optimized SrLi2RuO6 structure.

Unit cell a=5.4386 b=5.4804 c=8.0900 alpha=90.00 beta=91.87 gamma=90.00
With the nearest neighbours (Å) after each atom.
Element x y z (fractional)
O  0.4322  0.6991  0.4037  1 Ru 1.86, 1 Li 1.97
O  0.0678  0.1991  0.0963  1 Ru 1.86, 1 Li 1.97
O  0.6829  0.3965  0.9389  1 Ru 1.87, 1 Li 1.97
O  0.8800  0.6259  0.2078  1 Ru 1.95, 2 Li 1.99-2.02
O  0.8171  0.8965  0.5611  1 Ru 1.87, 1 Li 1.97
O  0.1200  0.3741  0.7922  1 Ru 1.95, 2 Li 1.99-2.02
O  0.9322  0.8009  0.9037  1 Ru 1.86, 1 Li 1.97
O  0.5678  0.3009  0.5963  1 Ru 1.86, 1 Li 1.97
O  0.3800  0.8741  0.7078  1 Ru 1.95, 2 Li 1.99-2.02
O  0.3171  0.6035  0.0611  1 Ru 1.87, 1 Li 1.97
O  0.6200  0.1259  0.2922  1 Ru 1.95, 2 Li 1.99-2.02
O  0.1829  0.1035  0.4389  1 Ru 1.87, 1 Li 1.97
Li  0.9498  0.9772  0.2686  4 O 1.97-2.02
Li  0.4498  0.5228  0.7686  4 O 1.97-2.02
Li  0.0502  0.0228  0.7314  4 O 1.97-2.02
Li  0.5502  0.4772  0.2314  4 O 1.97-2.02
Sr  0.5000  0.0000  0.0000  6 O 2.45-2.73
Sr  0.0000  0.5000  0.5000  6 O 2.45-2.73
Ru  0.0000  0.5000  0.0000  6 O 1.86-1.95
Ru  0.5000  0.0000  0.5000  6 O 1.86-1.95

**Raw formation energy**: -1438 meV per atom

---

DFT (PBE) results for a geometry-optimized LiGa4Pd7 structure.

Unit cell a=4.4118 b=7.6237 c=6.3797 alpha=81.14 beta=69.77 gamma=73.18
With the nearest neighbours (Å) after each atom.
Element x y z (fractional)
Li  0.0000  0.0000  0.0000  2 Pd 2.21
Pd  0.9222  0.3285  0.8271  5 Ga 2.53-2.70, 1 Li 2.55, 1 Pd 2.81
Pd  0.2150  0.1327  0.4374  4 Ga 2.50-2.58
Pd  0.5000  0.0000  0.0000  2 Li 2.21
Pd  0.6455  0.4237  0.2853  5 Ga 2.53-2.75
Pd  0.7850  0.8673  0.5626  4 Ga 2.50-2.58
Pd  0.0778  0.6715  0.1729  5 Ga 2.53-2.70, 1 Li 2.55, 1 Pd 2.81
Pd  0.3545  0.5763  0.7147  5 Ga 2.53-2.75
Ga  0.2887  0.3361  0.0865  8 Pd 2.50-2.75
Ga  0.5774  0.2111  0.6341  8 Pd 2.53-2.74
Ga  0.4226  0.7889  0.3659  8 Pd 2.53-2.74
Ga  0.7113  0.6639  0.9135  8 Pd 2.50-2.75

**E_form**: -47.99 kJ/mol of atoms

---

DFT (PBE) results for a geometry-optimized Ca2PaAlO6 structure.

Unit cell a=5.5695 b=5.7143 c=7.9809 alpha=90.00 beta=90.78 gamma=90.00
With the nearest neighbours (Å) after each atom.
Element x y z (fractional)
Al  0.0000  0.5000  0.0000  6 O 1.95-1.97
Al  0.5000  0.0000  0.5000  6 O 1.95-1.97
O  0.1888  0.2188  0.0526  1 Al 1.96, 1 Pa 2.18
O  0.0977  0.4660  0.7647  1 Al 1.97, 1 Pa 2.18
O  0.5977  0.0340  0.2647  1 Al 1.97, 1 Pa 2.18
O  0.2803  0.6931  0.0504  1 Al 1.95, 1 Pa 2.18
O  0.7197  0.3069  0.9496  1 Al 1.95, 1 Pa 2.18
O  0.2197  0.1931  0.4496  1 Al 1.95, 1 Pa 2.18
O  0.4023  0.9660  0.7353  1 Al 1.97, 1 Pa 2.18
O  0.7803  0.8069  0.5504  1 Al 1.95, 1 Pa 2.18
O  0.3112  0.7188  0.4474  1 Al 1.96, 1 Pa 2.18
O  0.6888  0.2812  0.5526  1 Al 1.96, 1 Pa 2.18
O  0.9023  0.5340  0.2353  1 Al 1.97, 1 Pa 2.18
O  0.8112  0.7812  0.9474  1 Al 1.96, 1 Pa 2.18
Pa  0.0000  0.5000  0.5000  6 O 2.18
Pa  0.5000  0.0000  0.0000  6 O 2.18
Ca  0.4853  0.4531  0.2508  6 O 2.37-2.64
Ca  0.9853  0.0469  0.7508  6 O 2.37-2.64
Ca  0.0147  0.9531  0.2492  6 O 2.37-2.64
Ca  0.5147  0.5469  0.7492  6 O 2.37-2.64

**Raw formation energy**: -3213 meV per atom

---

DFT (PBE) results for a geometry-optimized Co2NiSb structure.

Unit cell a=4.5221 b=4.5221 c=3.7743 alpha=65.34 beta=65.34 gamma=49.32
With the nearest neighbours (Å) after each atom.
Element x y z (fractional)
Ni  0.5000  0.5000  0.5000  4 Sb 2.62-2.63, 8 Co 2.63-2.67
Sb  0.2500  0.2500  0.2500  4 Ni 2.62-2.63, 8 Co 2.63-2.67
Co  0.0000  0.0000  0.0000  4 Sb 2.63, 4 Co 2.63, 4 Ni 2.67
Co  0.7500  0.7500  0.7500  4 Co 2.63, 4 Ni 2.63, 4 Sb 2.67

**Raw formation energy**: 27 meV per atom